Pr5Dy2Er | GGA-PBE | optimized geometry

Crystal system   monoclinic
VASP energy   -4.39 eV per atom

Cell: 8.831 21.522 6.558 Å, 90.00 111.20 90.00°
Space group C2/c (No. 15)
Unique sites:
Pr: 0.000 0.164 0.250 [4 per cell]
Pr: 0.106 0.341 0.536 [8 per cell]
Pr: 0.214 0.108 0.851 [8 per cell]
Dy: 0.000 0.000 0.000 [4 per cell]
Dy: 0.250 0.250 0.000 [4 per cell]
Er: 0.000 0.500 0.250 [4 per cell]


DyHo5Hg3 | GGA-PBE | optimized geometry

Crystal system   hexagonal
VASP energy   -3.47 eV per atom

Cell: 9.0410 9.0410 6.8974 Å, 90.00 90.00 120.00°
Space group P6_3/mcm (No. 193)
Unique sites:
Dy: 0.0000 0.0000 0.0000 [2 per cell]
Ho: 0.0000 0.3335 0.2500 [6 per cell]
Ho: 0.3333 0.6667 0.0000 [4 per cell]
Hg: 0.0000 0.3334 0.7500 [6 per cell]


Ba2NaAg4Sn3 | GGA-PBE | optimized geometry

Crystal system   tetragonal
VASP energy   -3.21 eV per atom

Cell: 4.955 4.955 11.274 Å, 90.00 90.00 90.00°
Space group P-4m2 (No. 115)
Unique sites:
Ba: 0.000 0.500 0.238 [2 per cell]
Na: 0.000 0.000 0.500 [1 per cell]
Ag: 0.000 0.000 0.000 [1 per cell]
Ag: 0.000 0.500 0.628 [2 per cell]
Ag: 0.500 0.500 0.000 [1 per cell]
Sn: 0.000 0.500 0.873 [2 per cell]
Sn: 0.500 0.500 0.500 [1 per cell]


UHgS2 | GGA-PBE | optimized geometry

Crystal system   trigonal
Raw formation energy   -0.995 eV/atom
VASP energy   -5.96 eV per atom

Cell: 4.0021 4.0021 9.4508 Å, 90.00 90.00 120.00°
Space group P-3m1 (No. 164)
Unique sites:
U: 0.0000 0.0000 0.0000 [1 per cell]
Hg: 0.0000 0.0000 0.5000 [1 per cell]
S: 0.3333 0.6667 0.1456 [2 per cell]


Ca3NdBi2As | GGA-PBE | optimized geometry

Crystal system   orthorhombic
VASP energy   -4.19 eV per atom

Cell: 5.363 5.594 16.621 Å, 90.00 90.00 90.00°
Space group Immm (No. 71)
Unique sites:
Ca: 0.000 0.000 0.000 [2 per cell]
Ca: 0.000 0.500 0.324 [4 per cell]
Nd: 0.000 0.000 0.500 [2 per cell]
Bi: 0.000 0.500 0.133 [4 per cell]
As: 0.000 0.500 0.500 [2 per cell]


Pm7NdY3 | GGA-PBE | optimized geometry

Crystal system   triclinic
VASP energy   -5.10 eV per atom

Cell: 6.596 6.790 8.795 Å, 100.03 98.83 95.98°
Space group P-1 (No. 2)
Unique sites:
Pm: 0.000 0.000 0.000 [1 per cell]
Pm: 0.057 0.711 0.642 [2 per cell]
Pm: 0.215 0.225 0.709 [2 per cell]
Pm: 0.484 0.737 0.917 [2 per cell]
Nd: 0.000 0.500 0.000 [1 per cell]
Y: 0.314 0.933 0.335 [2 per cell]
Y: 0.500 0.500 0.500 [1 per cell]


Among the records above, which one has the lowest VASP energy? UHgS2


Look up the VASP energy of the sixth one. -5.10 eV per atom


The highest VASP energy belongs to which entry? Ba2NaAg4Sn3